Record 1
The following is a DFT calculation (PBE) of a relaxed KFe2PbI8 crystal.

Unit cell a=7.494 b=7.494 c=10.941 alpha=90.00 beta=90.00 gamma=120.00
Fractional positions:
K 0.000 0.000 0.000
Fe 0.333 0.667 0.757
Fe 0.667 0.333 0.243
Pb 0.000 0.000 0.500
I 0.001 0.661 0.315
I 0.333 0.667 0.990
I 0.339 0.340 0.315
I 0.340 0.001 0.685
I 0.660 0.999 0.315
I 0.661 0.660 0.685
I 0.667 0.333 0.010
I 0.999 0.339 0.685

Values from the calculation:
magnetic moment: 0.750 μB/atom
VASP energy: -39.80 eV/cell
space group: P-3
V: 44.34 A^3/atom

Record 2
The following is a DFT calculation (PBE) of a relaxed KRbFe2I6 crystal.

Unit cell a=10.786 b=10.786 c=8.251 alpha=100.78 beta=100.78 gamma=86.10
Fractional positions:
K 0.102 0.898 0.750
K 0.898 0.102 0.250
Rb 0.325 0.675 0.250
Rb 0.675 0.325 0.750
Fe 0.206 0.373 0.749
Fe 0.373 0.206 0.249
Fe 0.627 0.794 0.751
Fe 0.794 0.627 0.251
I 0.027 0.212 0.675
I 0.111 0.595 0.848
I 0.212 0.027 0.175
I 0.317 0.393 0.489
I 0.393 0.317 0.989
I 0.405 0.889 0.652
I 0.595 0.111 0.348
I 0.607 0.683 0.011
I 0.683 0.607 0.511
I 0.788 0.973 0.825
I 0.889 0.405 0.152
I 0.973 0.788 0.325

Values from the calculation:
magnetic moment: 0.800 μB/atom
VASP energy: -69.33 eV/cell
space group: C2/c
V: 46.29 A^3/atom

Record 3
The following is a DFT calculation (PBE) of a relaxed KRb2FeI6 crystal.

Unit cell a=8.502 b=8.502 c=8.502 alpha=60.00 beta=60.00 gamma=60.00
Fractional positions:
K 0.000 0.000 0.000
Rb 0.250 0.250 0.250
Rb 0.750 0.750 0.750
Fe 0.500 0.500 0.500
I 0.279 0.279 0.721
I 0.279 0.721 0.279
I 0.279 0.721 0.721
I 0.721 0.279 0.279
I 0.721 0.279 0.721
I 0.721 0.721 0.279

Values from the calculation:
magnetic moment: 0.100 μB/atom
VASP energy: -28.80 eV/cell
space group: Fm-3m
V: 43.46 A^3/atom

Record 4
The following is a DFT calculation (PBE) of a relaxed KRbFeI4 crystal.

Unit cell a=7.960 b=8.296 c=10.094 alpha=90.00 beta=108.43 gamma=90.00
Fractional positions:
K 0.232 0.250 0.429
K 0.768 0.750 0.571
Rb 0.291 0.250 0.954
Rb 0.709 0.750 0.046
Fe 0.282 0.750 0.209
Fe 0.718 0.250 0.791
I 0.080 0.750 0.371
I 0.119 0.750 0.938
I 0.498 0.501 0.273
I 0.498 0.999 0.273
I 0.502 0.001 0.727
I 0.502 0.499 0.727
I 0.881 0.250 0.062
I 0.920 0.250 0.629

Values from the calculation:
magnetic moment: 0.571 μB/atom
VASP energy: -45.98 eV/cell
space group: P2_1/m
V: 45.17 A^3/atom

Record 5
The following is a DFT calculation (PBE) of a relaxed KScFe2I8 crystal.

Unit cell a=7.293 b=7.293 c=10.312 alpha=93.11 beta=93.11 gamma=69.22
Fractional positions:
K 0.000 0.000 0.000
Sc 0.000 0.000 0.500
Fe 0.372 0.372 0.714
Fe 0.628 0.628 0.286
I 0.236 0.742 0.296
I 0.240 0.240 0.501
I 0.258 0.764 0.704
I 0.296 0.296 0.938
I 0.704 0.704 0.062
I 0.742 0.236 0.296
I 0.760 0.760 0.499
I 0.764 0.258 0.704

Values from the calculation:
magnetic moment: 0.667 μB/atom
VASP energy: -44.57 eV/cell
space group: C2/m
V: 42.63 A^3/atom

Record 6
The following is a DFT calculation (PBE) of a relaxed KScFe2I crystal.

Unit cell a=4.774 b=4.774 c=7.803 alpha=90.00 beta=90.00 gamma=90.00
Fractional positions:
K 0.000 0.000 0.000
Sc 0.000 0.000 0.500
Fe 0.000 0.500 0.500
Fe 0.500 0.000 0.500
I 0.500 0.500 0.000

Values from the calculation:
magnetic moment: 0.914 μB/atom
VASP energy: -21.31 eV/cell
space group: P4/mmm
V: 35.56 A^3/atom

Record 7
The following is a DFT calculation (PBE) of a relaxed KScFeI2 crystal.

Unit cell a=6.165 b=6.165 c=5.698 alpha=90.00 beta=90.00 gamma=90.00
Fractional positions:
K 0.000 0.000 0.000
Sc 0.500 0.500 0.500
Fe 0.000 0.000 0.500
I 0.000 0.500 0.000
I 0.500 0.000 0.000

Values from the calculation:
magnetic moment: 0.400 μB/atom
VASP energy: -14.78 eV/cell
space group: P4/mmm
V: 43.31 A^3/atom

Record 8
The following is a DFT calculation (PBE) of a relaxed KFe2SeI crystal.

Unit cell a=4.602 b=4.602 c=8.697 alpha=90.00 beta=90.00 gamma=90.00
Fractional positions:
K 0.000 0.000 0.000
Fe 0.000 0.500 0.500
Fe 0.500 0.000 0.500
Se 0.500 0.500 0.500
I 0.500 0.500 0.000

Values from the calculation:
magnetic moment: 1.200 μB/atom
VASP energy: -22.27 eV/cell
space group: P4/mmm
V: 36.84 A^3/atom

Record 9
The following is a DFT calculation (PBE) of a relaxed K2FeSnI crystal.

Unit cell a=6.908 b=6.908 c=6.130 alpha=90.00 beta=90.00 gamma=90.00
Fractional positions:
K 0.000 0.500 0.000
K 0.500 0.000 0.000
Fe 0.000 0.000 0.500
Sn 0.500 0.500 0.000
I 0.500 0.500 0.500

Values from the calculation:
magnetic moment: 0.955 μB/atom
VASP energy: -12.82 eV/cell
space group: P4/mmm
V: 58.50 A^3/atom

Record 10
The following is a DFT calculation (PBE) of a relaxed KSrFe2I8 crystal.

Unit cell a=7.533 b=7.533 c=11.099 alpha=90.00 beta=90.00 gamma=120.00
Fractional positions:
K 0.000 0.000 0.000
Sr 0.000 0.000 0.500
Fe 0.333 0.667 0.759
Fe 0.667 0.333 0.241
I 0.000 0.340 0.688
I 0.000 0.660 0.312
I 0.333 0.667 0.989
I 0.340 0.000 0.688
I 0.340 0.340 0.312
I 0.660 0.000 0.312
I 0.660 0.660 0.688
I 0.667 0.333 0.011

Values from the calculation:
magnetic moment: 0.750 μB/atom
VASP energy: -40.84 eV/cell
space group: P-3
V: 45.46 A^3/atom

Record 11
The following is a DFT calculation (PBE) of a relaxed KFeTc2I crystal.

Unit cell a=4.519 b=4.519 c=6.602 alpha=90.00 beta=90.00 gamma=90.00
Fractional positions:
K 0.000 0.000 0.000
Fe 0.000 0.000 0.500
Tc 0.000 0.500 0.500
Tc 0.500 0.000 0.500
I 0.500 0.500 0.000

Values from the calculation:
magnetic moment: 0.784 μB/atom
VASP energy: -25.99 eV/cell
space group: P4/mmm
V: 26.97 A^3/atom

Record 12
The following is a DFT calculation (PBE) of a relaxed KTlFeI5 crystal.

Unit cell a=10.635 b=10.635 c=8.821 alpha=110.80 beta=110.80 gamma=104.26
Fractional positions:
K 0.000 0.500 0.000
K 0.500 0.000 0.500
Tl 0.093 0.907 0.750
Tl 0.907 0.093 0.250
Fe 0.382 0.618 0.750
Fe 0.618 0.382 0.250
I 0.100 0.900 0.250
I 0.260 0.684 0.497
I 0.276 0.339 0.623
I 0.316 0.740 0.003
I 0.339 0.276 0.123
I 0.661 0.724 0.877
I 0.684 0.260 0.997
I 0.724 0.661 0.377
I 0.740 0.316 0.503
I 0.900 0.100 0.750

Values from the calculation:
magnetic moment: 0.624 μB/atom
VASP energy: -48.78 eV/cell
space group: C2/c
V: 49.29 A^3/atom

Record 13
The following is a DFT calculation (PBE) of a relaxed K2VFeI crystal.

Unit cell a=6.645 b=6.645 c=5.276 alpha=90.00 beta=90.00 gamma=90.00
Fractional positions:
K 0.000 0.500 0.000
K 0.500 0.000 0.000
V 0.000 0.000 0.500
Fe 0.500 0.500 0.500
I 0.000 0.000 0.000

Values from the calculation:
magnetic moment: 1.573 μB/atom
VASP energy: -16.47 eV/cell
space group: P4/mmm
V: 46.59 A^3/atom

Record 14
The following is a DFT calculation (PBE) of a relaxed KYFe2I8 crystal.

Unit cell a=7.443 b=7.443 c=10.394 alpha=92.58 beta=92.58 gamma=69.26
Fractional positions:
K 0.000 0.000 0.000
Y 0.000 0.000 0.500
Fe 0.370 0.370 0.719
Fe 0.630 0.630 0.281
I 0.245 0.741 0.287
I 0.248 0.248 0.503
I 0.259 0.755 0.713
I 0.289 0.289 0.939
I 0.711 0.711 0.061
I 0.741 0.245 0.287
I 0.752 0.752 0.497
I 0.755 0.259 0.713

Values from the calculation:
magnetic moment: 0.667 μB/atom
VASP energy: -45.40 eV/cell
space group: C2/m
V: 44.80 A^3/atom

Record 15
The following is a DFT calculation (PBE) of a relaxed La3FeI crystal.

Unit cell a=8.611 b=4.042 c=9.239 alpha=90.00 beta=104.45 gamma=90.00
Fractional positions:
La 0.065 0.250 0.253
La 0.297 0.250 0.930
La 0.308 0.750 0.585
La 0.692 0.250 0.415
La 0.703 0.750 0.070
La 0.935 0.750 0.747
Fe 0.047 0.250 0.567
Fe 0.953 0.750 0.433
I 0.388 0.750 0.232
I 0.612 0.250 0.768

Values from the calculation:
magnetic moment: 0.136 μB/atom
VASP energy: -53.16 eV/cell
space group: P2_1/m
energy above the most stable polymorph in this dataset: 0 meV per atom
V: 31.14 A^3/atom

Record 16
The following is a DFT calculation (PBE) of a relaxed LaFe3I crystal.

Unit cell a=4.818 b=4.818 c=4.818 alpha=90.00 beta=90.00 gamma=90.00
Fractional positions:
La 0.000 0.000 0.000
Fe 0.000 0.000 0.500
Fe 0.000 0.500 0.000
Fe 0.500 0.000 0.000
I 0.500 0.500 0.500

Values from the calculation:
magnetic moment: 1.166 μB/atom
VASP energy: -23.56 eV/cell
space group: Pm-3m
energy above the most stable polymorph in this dataset: 700 meV per atom
V: 22.38 A^3/atom

Record 17
The following is a DFT calculation (PBE) of a relaxed La6FeI12 crystal.

Unit cell a=9.398 b=9.398 c=9.398 alpha=75.48 beta=75.48 gamma=75.48
Fractional positions:
La 0.270 0.270 0.692
La 0.270 0.692 0.270
La 0.308 0.730 0.730
La 0.692 0.270 0.270
La 0.730 0.308 0.730
La 0.730 0.730 0.308
Fe 0.500 0.500 0.500
I 0.048 0.048 0.675
I 0.048 0.675 0.048
I 0.081 0.604 0.604
I 0.325 0.952 0.952
I 0.396 0.396 0.919
I 0.396 0.919 0.396
I 0.604 0.081 0.604
I 0.604 0.604 0.081
I 0.675 0.048 0.048
I 0.919 0.396 0.396
I 0.952 0.325 0.952
I 0.952 0.952 0.325

Values from the calculation:
magnetic moment: 0.096 μB/atom
VASP energy: -77.22 eV/cell
space group: R-3m
V: 40.12 A^3/atom

Record 18
The following is a DFT calculation (PBE) of a relaxed LaFeI3 crystal.

Unit cell a=5.356 b=5.356 c=5.356 alpha=90.00 beta=90.00 gamma=90.00
Fractional positions:
La 0.000 0.000 0.000
Fe 0.500 0.500 0.500
I 0.000 0.500 0.500
I 0.500 0.000 0.500
I 0.500 0.500 0.000

Values from the calculation:
magnetic moment: 0.380 μB/atom
VASP energy: -19.19 eV/cell
space group: Pm-3m
V: 30.73 A^3/atom

Record 19
The following is a DFT calculation (PBE) of a relaxed LaFe3I crystal.

Unit cell a=4.729 b=4.729 c=4.729 alpha=90.00 beta=90.00 gamma=90.00
Fractional positions:
La 0.000 0.000 0.000
Fe 0.000 0.500 0.500
Fe 0.500 0.000 0.500
Fe 0.500 0.500 0.000
I 0.500 0.500 0.500

Values from the calculation:
magnetic moment: 0.917 μB/atom
VASP energy: -27.06 eV/cell
space group: Pm-3m
energy above the most stable polymorph in this dataset: 0 meV per atom
V: 21.15 A^3/atom

Record 20
The following is a DFT calculation (PBE) of a relaxed LaFe3I12 crystal.

Unit cell a=14.186 b=14.186 c=14.186 alpha=51.67 beta=51.67 gamma=51.67
Fractional positions:
La 0.000 0.000 0.000
La 0.500 0.500 0.500
Fe 0.155 0.791 0.397
Fe 0.291 0.655 0.897
Fe 0.397 0.155 0.791
Fe 0.655 0.897 0.291
Fe 0.791 0.397 0.155
Fe 0.897 0.291 0.655
I 0.020 0.419 0.436
I 0.042 0.046 0.716
I 0.046 0.716 0.042
I 0.177 0.182 0.832
I 0.182 0.832 0.177
I 0.216 0.546 0.542
I 0.331 0.841 0.840
I 0.332 0.682 0.677
I 0.340 0.341 0.831
I 0.341 0.831 0.340
I 0.419 0.436 0.020
I 0.436 0.020 0.419
I 0.520 0.936 0.919
I 0.542 0.216 0.546
I 0.546 0.542 0.216
I 0.677 0.332 0.682
I 0.682 0.677 0.332
I 0.716 0.042 0.046
I 0.831 0.340 0.341
I 0.832 0.177 0.182
I 0.840 0.331 0.841
I 0.841 0.840 0.331
I 0.919 0.520 0.936
I 0.936 0.919 0.520

Values from the calculation:
magnetic moment: 0.938 μB/atom
VASP energy: -113.05 eV/cell
space group: R3c
V: 50.71 A^3/atom

Record 21
The following is a DFT calculation (PBE) of a relaxed LaFe2I8 crystal.

Unit cell a=8.835 b=8.835 c=7.152 alpha=91.30 beta=91.30 gamma=86.15
Fractional positions:
La 0.000 0.000 0.000
Fe 0.207 0.207 0.634
Fe 0.793 0.793 0.366
I 0.069 0.713 0.253
I 0.207 0.207 0.268
I 0.287 0.931 0.747
I 0.391 0.391 0.753
I 0.609 0.609 0.247
I 0.713 0.069 0.253
I 0.793 0.793 0.732
I 0.931 0.287 0.747

Values from the calculation:
magnetic moment: 0.818 μB/atom
VASP energy: -41.16 eV/cell
space group: C2/m
V: 50.61 A^3/atom

Record 22
The following is a DFT calculation (PBE) of a relaxed La3FeI crystal.

Unit cell a=5.366 b=5.366 c=5.366 alpha=90.00 beta=90.00 gamma=90.00
Fractional positions:
La 0.000 0.000 0.500
La 0.000 0.500 0.000
La 0.500 0.000 0.000
Fe 0.000 0.000 0.000
I 0.500 0.500 0.500

Values from the calculation:
magnetic moment: 0.000 μB/atom
VASP energy: -25.94 eV/cell
space group: Pm-3m
energy above the most stable polymorph in this dataset: 128 meV per atom
V: 30.90 A^3/atom